Here is a geometry-optimized TlNiIr2 structure from the Alexandria database. Energies are from PBE.

a = 4.789 Å, b = 4.789 Å, c = 4.789 Å
α = 130.35°, β = 130.35°, γ = 72.86°
Element x y z (fractional)
Ir 0.250 0.750 0.500
Ir 0.000 0.000 0.000
Ni 0.500 0.500 0.000
Tl 0.750 0.250 0.500

Results
Total magnetic moment ... 0.15 μB per atom
Uncorrected energy ... -6.0225 eV/atom
DFT formation energy ... 1.78 eV per formula unit
Space-group type ... No. 119